Entry 1:
Computed, not measured: an optimized crystal structure of DyLuOs at the GGA-PBE level of DFT.

Summary:
* calculated density: 12.64 Mg/m³
* DFT formation energy: -0.26 eV/atom

a b c (Å): 7.3534 4.2935 8.7821
angles (deg): 90.00 90.00 90.00
Closest atoms and distances in Å follow each position.
Space group Pnma (No. 62)
One atom of each set of equivalent atoms:
Dy (0.1487, 0.2500, 0.0687) (multiplicity 4)  4 Os 2.81-2.97
Lu (0.0201, 0.2500, 0.6628) (multiplicity 4)  3 Os 2.95-2.99
Os (0.2492, 0.2500, 0.3812) (multiplicity 4)  4 Dy 2.81-2.97, 3 Lu 2.95-2.99


Entry 2:
Computed, not measured: an optimized crystal structure of Dy2Sc2CI5 at the GGA-PBE level of DFT.

Summary:
* VASP energy: -4.9133 eV/atom
* calculated density: 5.79 Mg/m³

a b c (Å): 19.1415 3.8909 8.3684
angles (deg): 90.00 102.37 90.00
Closest atoms and distances in Å follow each position.
Space group C2/m (No. 12)
One atom of each set of equivalent atoms:
Dy (0.1258, 0.0000, 0.0620) (multiplicity 4)  1 C 2.35
Sc (0.0000, 0.5000, 0.1775) (multiplicity 4)  2 C 2.45
C (0.0000, 0.0000, 0.0000) (multiplicity 2)  2 Dy 2.35, 4 Sc 2.45
I (0.0000, 0.0000, 0.5000) (multiplicity 2)  4 Sc 3.33
I (0.1572, 0.5000, 0.3436) (multiplicity 4)  2 Dy 3.01, 1 Sc 3.03
I (0.1606, 0.5000, 0.8122) (multiplicity 4)  2 Dy 3.03, 1 Sc 3.09


Entry 3:
Computed, not measured: an optimized crystal structure of LuBi2Pb at the GGA-PBE level of DFT.

Summary:
* VASP energy: -4.1299 eV/atom
* calculated density: 11.15 Mg/m³

a b c (Å): 7.8110 7.8110 7.8110
angles (deg): 90.00 90.00 90.00
Closest atoms and distances in Å follow each position.
Space group F-43m (No. 216)
One atom of each set of equivalent atoms:
Lu (0.0000, 0.0000, 0.0000) (multiplicity 4)  4 Pb 3.38, 4 Bi 3.38
Bi (0.0000, 0.0000, 0.5000) (multiplicity 4)  4 Bi 3.38, 4 Pb 3.38
Bi (0.2500, 0.2500, 0.2500) (multiplicity 4)  4 Bi 3.38, 4 Lu 3.38
Pb (0.2500, 0.2500, 0.7500) (multiplicity 4)  4 Bi 3.38, 4 Lu 3.38